[1]
# Sm3Re2O9

A relaxed Sm3Re2O9 crystal (PBE-GGA, Alexandria).

abc: 5.558 6.897 10.934
angles: 76.77 75.44 68.77
Sites, in units of the cell vectors:
Re (0.522, 0.387, 0.093)
O (0.929, 0.794, 0.525)
O (0.071, 0.206, 0.475)
O (0.943, 0.882, 0.278)
Sm (0.984, 0.793, 0.731)
O (0.057, 0.118, 0.722)
O (0.586, 0.078, 0.688)
O (0.414, 0.922, 0.312)
O (0.190, 0.489, 0.204)
Sm (0.301, 0.605, 0.369)
O (0.404, 0.811, 0.599)
Re (0.655, 0.873, 0.433)
Sm (0.699, 0.395, 0.631)
O (0.810, 0.511, 0.796)
Sm (0.764, 0.849, 0.115)
O (0.710, 0.578, 0.424)
O (0.603, 0.833, 0.927)
O (0.596, 0.189, 0.401)
O (0.397, 0.167, 0.073)
O (0.661, 0.528, 0.181)
O (0.126, 0.812, 0.941)
Sm (0.236, 0.151, 0.885)
O (0.339, 0.472, 0.819)
Re (0.478, 0.613, 0.907)
Re (0.345, 0.127, 0.567)
O (0.290, 0.422, 0.576)
Sm (0.016, 0.207, 0.269)
O (0.874, 0.188, 0.059)


[2]
# Sm4Re6O19

A relaxed Sm4Re6O19 crystal (PBE-GGA, Alexandria).

abc: 7.863 7.863 7.863
angles: 109.47 109.47 109.47
Sites, in units of the cell vectors:
Re (0.633, 0.500, 0.133)
Sm (0.300, 0.300, 0.300)
Re (0.500, 0.133, 0.633)
O (0.000, 0.000, 0.000)
Sm (0.000, 0.000, 0.700)
Sm (0.000, 0.700, 0.000)
O (0.058, 0.331, 0.709)
O (0.318, 0.000, 0.318)
O (0.000, 0.682, 0.682)
Sm (0.700, 0.000, 0.000)
Re (0.367, 0.500, 0.867)
O (0.682, 0.682, 0.000)
Re (0.133, 0.633, 0.500)
O (0.273, 0.942, 0.651)
O (0.291, 0.622, 0.349)
Re (0.500, 0.867, 0.367)
O (0.727, 0.378, 0.669)
O (0.331, 0.709, 0.058)
O (0.000, 0.318, 0.318)
O (0.669, 0.727, 0.378)
O (0.682, 0.000, 0.682)
O (0.378, 0.669, 0.727)
O (0.942, 0.651, 0.273)
Re (0.867, 0.367, 0.500)
O (0.622, 0.349, 0.291)
O (0.709, 0.058, 0.331)
O (0.651, 0.273, 0.942)
O (0.318, 0.318, 0.000)
O (0.349, 0.291, 0.622)


[3]
# SmReO4

A relaxed SmReO4 crystal (PBE-GGA, Alexandria).

abc: 5.463 5.103 6.638
angles: 109.47 111.33 97.13
Each line ends with the local moment (μB).
Sites, in units of the cell vectors:
O (0.349, 0.200, 0.914)  0.10
O (0.202, 0.995, 0.439)  0.05
O (0.066, 0.714, 0.914)  0.10
Re (0.908, 0.158, 0.316)  1.40
O (0.798, 0.005, 0.561)  0.05
Sm (0.636, 0.386, 0.773)  0.05
O (0.651, 0.800, 0.086)  0.10
Re (0.092, 0.842, 0.684)  1.40
O (0.263, 0.556, 0.561)  0.05
Sm (0.364, 0.614, 0.227)  0.05
O (0.737, 0.444, 0.439)  0.05
O (0.934, 0.286, 0.086)  0.10


[4]
# SmReO4

A relaxed SmReO4 crystal (PBE-GGA, Alexandria).

abc: 5.582 8.014 7.646
angles: 103.79 90.00 90.00
Sites, in units of the cell vectors:
O (0.751, 0.827, 0.957)
O (0.506, 0.637, 0.159)
Re (0.250, 0.164, 0.291)
O (0.994, 0.637, 0.659)
Re (0.750, 0.836, 0.209)
Sm (0.250, 0.606, 0.901)
Sm (0.750, 0.394, 0.599)
O (0.506, 0.636, 0.659)
Re (0.750, 0.836, 0.709)
Sm (0.250, 0.606, 0.401)
O (0.494, 0.363, 0.841)
O (0.494, 0.364, 0.341)
Re (0.250, 0.164, 0.791)
O (0.249, 0.173, 0.043)
O (0.994, 0.636, 0.159)
O (0.000, 0.000, 0.749)
O (0.749, 0.827, 0.457)
O (0.006, 0.363, 0.341)
O (0.500, 0.000, 0.249)
O (0.251, 0.173, 0.543)
Sm (0.750, 0.394, 0.099)
O (0.500, 0.000, 0.751)
O (0.006, 0.364, 0.841)
O (0.000, 0.000, 0.251)


[5]
# SmReO

A relaxed SmReO crystal (PBE-GGA, Alexandria).

abc: 3.478 6.945 8.655
angles: 90.00 90.00 90.00
Sites, in units of the cell vectors:
Re (0.250, 0.375, 0.000)
Sm (0.750, 0.375, 0.332)
Re (0.750, 0.125, 0.000)
Sm (0.250, 0.625, 0.668)
Sm (0.250, 0.125, 0.668)
O (0.750, 0.875, 0.607)
Sm (0.750, 0.875, 0.332)
Re (0.250, 0.875, 0.000)
O (0.250, 0.625, 0.393)
Re (0.750, 0.625, 0.000)
O (0.750, 0.375, 0.607)
O (0.250, 0.125, 0.393)


[6]
# Sm6ReO12

A relaxed Sm6ReO12 crystal (PBE-GGA, Alexandria).

abc: 6.638 6.638 6.638
angles: 98.58 98.58 98.58
Each line ends with the local moment (μB).
Sites, in units of the cell vectors:
O (0.710, 0.930, 0.034)  0.02
Sm (0.311, 0.144, 0.611)  0.01
O (0.290, 0.070, 0.966)  0.02
O (0.930, 0.034, 0.710)  0.02
O (0.563, 0.408, 0.823)  0.00
O (0.034, 0.710, 0.930)  0.02
O (0.592, 0.177, 0.437)  0.00
O (0.070, 0.966, 0.290)  0.02
O (0.823, 0.563, 0.408)  0.00
Sm (0.144, 0.611, 0.311)  0.01
Sm (0.856, 0.389, 0.689)  0.01
O (0.177, 0.437, 0.592)  0.00
O (0.408, 0.823, 0.563)  0.00
O (0.966, 0.290, 0.070)  0.02
Re (0.000, 0.000, 0.000)  0.74
O (0.437, 0.592, 0.177)  0.00
Sm (0.611, 0.311, 0.144)  0.01
Sm (0.689, 0.856, 0.389)  0.01
Sm (0.389, 0.689, 0.856)  0.01


[7]
# Sm2ReO5

A relaxed Sm2ReO5 crystal (PBE-GGA, Alexandria).

abc: 8.696 8.696 5.826
angles: 90.00 90.00 90.00
Sites, in units of the cell vectors:
Re (0.500, 0.000, 0.460)
Re (0.000, 0.500, 0.151)
Sm (0.849, 0.858, 0.250)
O (0.000, 0.000, 0.000)
O (0.500, 0.500, 0.000)
Re (0.000, 0.500, 0.540)
O (0.907, 0.300, 0.098)
Sm (0.151, 0.142, 0.250)
O (0.700, 0.907, 0.902)
Sm (0.651, 0.642, 0.750)
O (0.200, 0.407, 0.098)
O (0.300, 0.910, 0.399)
O (0.407, 0.800, 0.902)
O (0.700, 0.090, 0.399)
O (0.800, 0.593, 0.098)
O (0.200, 0.590, 0.601)
O (0.410, 0.200, 0.399)
Sm (0.642, 0.349, 0.250)
Sm (0.349, 0.358, 0.750)
O (0.090, 0.300, 0.601)
O (0.500, 0.500, 0.500)
O (0.300, 0.093, 0.902)
O (0.093, 0.700, 0.098)
Re (0.500, 0.000, 0.849)
O (0.800, 0.410, 0.601)
O (0.590, 0.800, 0.399)
O (0.593, 0.200, 0.902)
O (0.000, 0.000, 0.500)
Sm (0.858, 0.151, 0.750)
Sm (0.142, 0.849, 0.750)
Sm (0.358, 0.651, 0.250)
O (0.910, 0.700, 0.601)


[8]
# Sr2SmReO6

A relaxed Sr2SmReO6 crystal (PBE-GGA, Alexandria).

abc: 5.872 5.980 8.353
angles: 90.00 90.43 90.00
Each line ends with the local moment (μB).
Sites, in units of the cell vectors:
Re (0.000, 0.500, 0.000)  1.47
Sm (0.000, 0.500, 0.500)  0.06
O (0.771, 0.807, 0.543)  0.04
Sr (0.989, 0.041, 0.750)  0.01
Re (0.500, 0.000, 0.500)  1.47
O (0.811, 0.771, 0.953)  0.03
O (0.689, 0.271, 0.547)  0.03
O (0.583, 0.026, 0.270)  0.03
O (0.311, 0.729, 0.453)  0.03
Sr (0.489, 0.459, 0.250)  0.01
Sr (0.511, 0.541, 0.750)  0.01
Sm (0.500, 0.000, 0.000)  0.06
O (0.189, 0.229, 0.047)  0.03
O (0.229, 0.193, 0.457)  0.04
Sr (0.011, 0.959, 0.250)  0.01
O (0.083, 0.474, 0.770)  0.03
O (0.729, 0.307, 0.957)  0.04
O (0.917, 0.526, 0.230)  0.03
O (0.271, 0.693, 0.043)  0.04
O (0.417, 0.974, 0.730)  0.03


[9]
# Sr2SmReO8

A relaxed Sr2SmReO8 crystal (PBE-GGA, Alexandria).

abc: 5.602 4.485 6.774
angles: 72.63 93.66 90.45
Sites, in units of the cell vectors:
O (0.037, 0.673, 0.276)
Re (0.000, 0.000, 0.000)
O (0.272, 0.180, 0.088)
O (0.803, 0.207, 0.134)
Sm (0.000, 0.000, 0.500)
O (0.577, 0.867, 0.497)
O (0.423, 0.133, 0.503)
Sr (0.510, 0.385, 0.787)
O (0.197, 0.793, 0.866)
O (0.728, 0.820, 0.912)
O (0.963, 0.327, 0.724)
Sr (0.490, 0.615, 0.213)


[10]
# SrSmRe2O8

A relaxed SrSmRe2O8 crystal (PBE-GGA, Alexandria).

abc: 5.983 5.983 7.254
angles: 90.00 90.00 120.00
Each line ends with the local moment (μB).
Sites, in units of the cell vectors:
O (0.333, 0.667, 0.044)  0.11
O (0.667, 0.333, 0.956)  0.11
Re (0.667, 0.333, 0.203)  0.97
O (0.836, 0.671, 0.282)  0.06
Sr (0.000, 0.000, 0.000)  0.01
O (0.164, 0.836, 0.718)  0.06
Sm (0.000, 0.000, 0.500)  0.10
O (0.329, 0.164, 0.282)  0.06
Re (0.333, 0.667, 0.797)  0.97
O (0.164, 0.329, 0.718)  0.06
O (0.836, 0.164, 0.282)  0.06
O (0.671, 0.836, 0.718)  0.06


[11]
# Tb2SmReO8

A relaxed Tb2SmReO8 crystal (PBE-GGA, Alexandria).

abc: 5.086 5.085 6.845
angles: 90.00 90.00 90.15
Sites, in units of the cell vectors:
O (0.818, 0.182, 0.203)
O (0.312, 0.311, 0.500)
Re (0.000, 0.000, 0.000)
O (0.688, 0.689, 0.500)
Tb (0.500, 0.500, 0.251)
O (0.182, 0.818, 0.797)
O (0.181, 0.818, 0.203)
O (0.735, 0.736, 0.000)
O (0.819, 0.182, 0.797)
Tb (0.500, 0.500, 0.749)
Sm (0.000, 0.000, 0.500)
O (0.265, 0.264, 0.000)


[12]
# SmTl2ReO6

A relaxed SmTl2ReO6 crystal (PBE-GGA, Alexandria).

abc: 5.964 6.538 6.538
angles: 120.00 90.00 90.00
Sites, in units of the cell vectors:
O (0.804, 0.732, 0.866)
Tl (0.974, 0.667, 0.333)
O (0.804, 0.134, 0.866)
O (0.804, 0.134, 0.268)
Sm (0.500, 0.000, 0.000)
O (0.196, 0.268, 0.134)
Re (0.000, 0.000, 0.000)
O (0.196, 0.866, 0.732)
Tl (0.026, 0.333, 0.667)
O (0.196, 0.866, 0.134)


Number 1: electronic total energy -8.57 eV/atom. Number 2: electronic total energy -8.64 eV/atom. Number 3: electronic total energy -8.43 eV/atom. Number 4: electronic total energy -8.52 eV/atom. Number 5: electronic total energy -8.91 eV/atom. Number 6: electronic total energy -8.36 eV/atom. Number 7: electronic total energy -8.60 eV/atom. Number 8: electronic total energy -7.60 eV/atom. Number 9: electronic total energy -7.23 eV/atom. Number 10: electronic total energy -7.96 eV/atom. Number 11: electronic total energy -8.27 eV/atom. Number 12: electronic total energy -6.83 eV/atom.